Record 1
PuTh2Pb9 after structural relaxation, computed with PBE.

Lattice parameters (Å, degrees): 5.630 5.630 11.434 90.00 90.00 90.00
Space group P4/mmm (No. 123)
Symmetry-distinct sites (fractional):
Pu 0.000 0.000 0.000 (multiplicity 1)
Th 0.000 0.000 0.333 (multiplicity 2)
Pb 0.000 0.500 0.163 (multiplicity 4)
Pb 0.000 0.500 0.500 (multiplicity 2)
Pb 0.500 0.500 0.000 (multiplicity 1)
Pb 0.500 0.500 0.331 (multiplicity 2)

energy of formation from the pure elements = -105 meV/atom

Record 2
HfInAu2 after structural relaxation, computed with PBE.

Lattice parameters (Å, degrees): 3.5671 3.5671 24.0791 90.00 90.00 120.00
Space group R-3m (No. 166, hexagonal axes)
Symmetry-distinct sites (fractional):
Hf 0.0000 0.0000 0.0000 (multiplicity 3)
In 0.0000 0.0000 0.5000 (multiplicity 3)
Au 0.0000 0.0000 0.2555 (multiplicity 6)

energy of formation from the pure elements = -268 meV/atom

Record 3
Li3AgPd3 after structural relaxation, computed with PBE.

Lattice parameters (Å, degrees): 8.7973 8.7973 5.1152 90.00 90.00 120.00
Space group R3m (No. 160, hexagonal axes)
Symmetry-distinct sites (fractional):
Li 0.1684 0.3368 0.0000 (multiplicity 9)
Ag 0.0000 0.0000 0.6908 (multiplicity 3)
Pd 0.0039 0.5020 0.1688 (multiplicity 9)

distance to the lowest polymorph of the same formula = 0.048 eV per atom
energy of formation from the pure elements = -258 meV/atom

Record 4
AcLa7Ho3 after structural relaxation, computed with PBE.

Lattice parameters (Å, degrees): 7.3896 7.3896 8.6415 90.00 90.00 120.00
Space group P3m1 (No. 156)
Symmetry-distinct sites (fractional):
Ac 0.0000 0.0000 0.0000 (multiplicity 1)
La 0.3333 0.6667 0.2997 (multiplicity 1)
La 0.3420 0.1710 0.3373 (multiplicity 3)
La 0.5026 0.0053 0.9640 (multiplicity 3)
Ho 0.1679 0.3359 0.6478 (multiplicity 3)

distance to the lowest polymorph of the same formula = 0.000 eV per atom
energy of formation from the pure elements = 183 meV/atom

Record 5
TiP after structural relaxation, computed with PBE.

Lattice parameters (Å, degrees): 7.625 7.625 7.625 90.00 90.00 90.00
Space group I-43m (No. 217)
Symmetry-distinct sites (fractional):
Ti 0.140 0.140 0.860 (multiplicity 8)
P 0.174 0.174 0.174 (multiplicity 8)

energy of formation from the pure elements = -440 meV/atom

Record 6
LiY3In after structural relaxation, computed with PBE.

Lattice parameters (Å, degrees): 5.148 20.888 5.148 90.00 90.00 90.00
Space group Cmcm (No. 63)
Symmetry-distinct sites (fractional):
Li 0.000 0.156 0.250 (multiplicity 4)
Y 0.000 0.060 0.750 (multiplicity 4)
Y 0.000 0.249 0.750 (multiplicity 4)
Y 0.000 0.438 0.750 (multiplicity 4)
In 0.000 0.341 0.250 (multiplicity 4)

distance to the lowest polymorph of the same formula = 0.000 eV per atom
energy of formation from the pure elements = -221 meV/atom

Record 7
SrFeI after structural relaxation, computed with PBE.

Lattice parameters (Å, degrees): 4.896 4.044 9.467 90.00 99.42 90.00
Space group Pm (No. 6)
Symmetry-distinct sites (fractional):
Sr 0.000 0.000 0.000 (multiplicity 1)
Sr 0.376 0.000 0.483 (multiplicity 1)
Fe 0.807 0.000 0.271 (multiplicity 1)
Fe 0.993 0.500 0.280 (multiplicity 1)
I 0.452 0.500 0.198 (multiplicity 1)
I 0.494 0.500 0.789 (multiplicity 1)

E_form (uncorrected) = -33 kJ/mol of formula units

Record 8
TlIrSe2 after structural relaxation, computed with PBE.

Lattice parameters (Å, degrees): 3.174 4.841 5.140 90.00 90.00 90.00
Space group Pmmm (No. 47)
Symmetry-distinct sites (fractional):
Tl 0.000 0.000 0.000 (multiplicity 1)
Ir 0.500 0.500 0.000 (multiplicity 1)
Se 0.000 0.500 0.500 (multiplicity 1)
Se 0.500 0.000 0.500 (multiplicity 1)

distance to the lowest polymorph of the same formula = 0.978 eV per atom
E_form (uncorrected) = 259 kJ/mol of formula units

| no. | total energy (eV per atom) |
| --- | --- |
| 1 | -5.317 |
| 2 | -5.080 |
| 3 | -3.711 |
| 4 | -4.574 |
| 5 | -7.092 |
| 6 | -5.030 |
| 7 | -4.011 |
| 8 | -3.879 |